No. 1
VASP calculation (PBE) on an optimized crystal structure of MnAlFe2Ge.

abc: 4.383 4.383 4.400
angles: 90.00 90.00 90.00
Space group P4/mmm (No. 123)
Symmetry-distinct sites (fractional):
Mn1 0.000 0.000 0.000
Al1 0.500 0.500 0.500
Fe1 0.000 0.500 0.000
Ge1 0.000 0.000 0.500

Computed properties:
energy of formation from the pure elements = 4.47 eV/f.u.
magnetic moment = 4.75 μB/cell


No. 2
VASP calculation (PBE) on an optimized crystal structure of Nb2AlFe5Ge2.

abc: 9.006 9.006 3.365
angles: 90.00 90.00 90.00
Space group P4/mbm (No. 127)
Symmetry-distinct sites (fractional):
Nb1 0.173 0.327 0.000
Al1 0.000 0.000 0.000
Fe1 0.000 0.500 0.500
Fe2 0.054 0.799 0.500
Ge1 0.127 0.627 0.000

Computed properties:
energy of formation from the pure elements = -0.77 eV/f.u.
magnetic moment = 8.38 μB/cell


No. 3
VASP calculation (PBE) on an optimized crystal structure of Np2Al2FeGe4.

abc: 6.193 6.193 8.370
angles: 90.00 90.00 90.00
Space group I4/mmm (No. 139)
Symmetry-distinct sites (fractional):
Np1 0.000 0.500 0.250
Al1 0.000 0.000 0.218
Fe1 0.000 0.000 0.500
Ge1 0.230 0.230 0.000

Computed properties:
energy of formation from the pure elements = -1.77 eV/f.u.
magnetic moment = 15.42 μB/cell


No. 4
VASP calculation (PBE) on an optimized crystal structure of PaAlFe4Ge2.

abc: 4.185 4.185 7.107
angles: 90.00 90.00 90.00
Space group P4/mmm (No. 123)
Symmetry-distinct sites (fractional):
Pa1 0.000 0.000 0.000
Al1 0.000 0.000 0.500
Fe1 0.000 0.500 0.332
Ge1 0.500 0.500 0.175

Computed properties:
energy of formation from the pure elements = -0.38 eV/f.u.
magnetic moment = 6.10 μB/cell